{"formula": "Al2FeTc", "functional": "PBE", "state": "optimized geometry", "delta_e_f_ev_per_atom": -0.25, "e_above_lowest_polymorph_mev_per_atom": 58, "lattice_angstrom": [[3.077, 0.000, 0.000], [0.000, 3.080, 0.000], [0.000, 0.000, 5.709]], "species": ["Al", "Al", "Tc", "Fe"], "fractional_positions": [[0.000, 0.000, 0.990], [0.500, 0.500, 0.272], [0.500, 0.500, 0.747], [0.000, 0.000, 0.491]]}